{
  "formula": "Li4Co5Ni3O16",
  "functional": "GGA+U",
  "state": "optimized geometry",
  "energy_ev_per_atom": -5.3250,
  "mass_density_g_cm3": 4.9,
  "cell": [[4.893, -2.837, 0.000], [4.893, 2.837, 0.000], [-0.070, 0.000, 9.251]],
  "species": ["Li", "Li", "Li", "Li", "Co", "Co", "Co", "Co", "Co", "Ni", "Ni", "Ni", "O", "O", "O", "O", "O", "O", "O", "O", "O", "O", "O", "O", "O", "O", "O", "O"],
  "fractional_positions": [[0.000, 0.000, 0.000], [0.002, 0.002, 0.496], [0.334, 0.334, 0.899], [0.685, 0.685, 0.401], [0.185, 0.674, 0.212], [0.346, 0.346, 0.492], [0.667, 0.667, 0.983], [0.674, 0.185, 0.212], [0.833, 0.833, 0.719], [0.182, 0.182, 0.214], [0.341, 0.833, 0.719], [0.833, 0.341, 0.719], [0.004, 0.004, 0.812], [0.017, 0.017, 0.306], [0.059, 0.504, 0.348], [0.165, 0.165, 0.609], [0.169, 0.680, 0.604], [0.336, 0.833, 0.096], [0.342, 0.342, 0.111], [0.502, 0.502, 0.325], [0.504, 0.059, 0.348], [0.522, 0.522, 0.843], [0.524, 0.961, 0.843], [0.667, 0.667, 0.617], [0.680, 0.169, 0.604], [0.833, 0.336, 0.096], [0.840, 0.840, 0.112], [0.961, 0.524, 0.843]]
}